Sc2IrPb | PBE-GGA | relaxed

Cell lengths 6.251, 6.251, 6.251 Å; angles 104.74, 104.74, 119.41 degrees
Positions (direct):
Sc  0.072  0.125  0.447
Sc  0.375  0.928  0.053
Sc  0.678  0.625  0.553
Sc  0.875  0.322  0.947
Ir  0.000  0.000  0.000
Ir  0.750  0.250  0.500
Pb  0.250  0.750  0.500
Pb  0.500  0.500  0.000

As for the energy of formation from the pure elements: -0.27 eV/atom. The density of states at the Fermi level is 3.7 states/eV/f.u.